# 1
First-principles (GGA-PBE) data for an optimized crystal structure of U2AlC3, as listed in Alexandria.

a = 3.4449 Å, b = 3.4449 Å, c = 13.7352 Å
α = 90.00°, β = 90.00°, γ = 90.00°
Closest atoms and distances in Å follow each position.
Space group I4/mmm (No. 139)
Unique sites:
U1 0.0000 0.0000 0.1592 [4 per cell]  5 C 2.19-2.44
Al1 0.0000 0.0000 0.5000 [2 per cell]  2 C 2.14
C1 0.0000 0.0000 0.0000 [2 per cell]  2 U 2.19, 4 Al 2.44
C2 0.0000 0.0000 0.3442 [4 per cell]  1 Al 2.14

Summary:
Energy of formation in eV per formula unit: 0.28
N(E_F) in states/eV per atom: 1.084

# 2
First-principles (GGA-PBE) data for an optimized crystal structure of AlV3C, as listed in Alexandria.

a = 8.8636 Å, b = 3.0163 Å, c = 9.2604 Å
α = 90.00°, β = 90.00°, γ = 90.00°
Closest atoms and distances in Å follow each position.
Space group Pnma (No. 62)
Unique sites:
Al1 0.1259 0.2500 0.0167 [4 per cell]  6 V 2.66-2.67, 2 Al 2.71
V1 0.0785 0.7500 0.2501 [4 per cell]  2 C 2.05
V2 0.1254 0.2500 0.5285 [4 per cell]  3 C 1.99-2.03
V3 0.1797 0.7500 0.7856 [4 per cell]  1 C 1.98
C1 0.0209 0.7500 0.6348 [4 per cell]  6 V 1.98-2.05

Summary:
Energy of formation in eV per formula unit: -1.61
N(E_F) in states/eV per atom: 0.847

# 3
First-principles (GGA-PBE) data for an optimized crystal structure of Al2V4C, as listed in Alexandria.

a = 4.9900 Å, b = 2.8705 Å, c = 6.8532 Å
α = 90.00°, β = 107.45°, γ = 90.00°
Closest atoms and distances in Å follow each position.
Space group P2/m (No. 10)
Unique sites:
Al1 0.2472 0.0000 0.4951 [2 per cell]  2 Al 2.49-2.50, 6 V 2.67-2.73
V1 0.1654 0.0000 0.8632 [2 per cell]  2 C 2.02
V2 0.3888 0.5000 0.2023 [2 per cell]  1 C 2.02
C1 0.0000 0.5000 0.0000 [1 per cell]  6 V 2.02

Summary:
Energy of formation in eV per formula unit: -1.63
N(E_F) in states/eV per atom: 0.666

# 4
First-principles (GGA-PBE) data for an optimized crystal structure of Al2V7C2, as listed in Alexandria.

a = 8.4576 Å, b = 6.4489 Å, c = 5.2654 Å
α = 90.00°, β = 95.48°, γ = 90.00°
Closest atoms and distances in Å follow each position.
Space group C2/m (No. 12)
Unique sites:
Al1 0.0000 0.1826 0.0000 [4 per cell]  1 Al 2.35, 6 V 2.51-2.59
V1 0.0000 0.0000 0.5000 [2 per cell]  2 C 2.32
V2 0.0030 0.5000 0.2753 [4 per cell]  2 C 2.15-2.33, 1 V 2.37
V3 0.2380 0.2430 0.7351 [8 per cell]  2 C 2.04-2.07
C1 0.2260 0.5000 0.5098 [4 per cell]  5 V 2.04-2.15

Summary:
Energy of formation in eV per formula unit: 0.05
N(E_F) in states/eV per atom: 0.636